# SnBMoO6

A relaxed SnBMoO6 crystal (GGA+U, Alexandria).

Structure (POSCAR):
```
SnBMoO6
1.0
2.1697 -5.0283 0.0000
2.1697 5.0283 0.0000
-0.2827 0.0000 4.4620
Sn B Mo O
1 1 1 6
direct
0.0000 0.0000 0.0000 Sn
0.5689 0.4311 0.5000 B
0.2947 0.7053 0.5000 Mo
0.0305 0.3684 0.2118 O
0.3154 0.3544 0.6987 O
0.3961 0.1092 0.3060 O
0.6316 0.9695 0.7882 O
0.6456 0.6846 0.3013 O
0.8908 0.6039 0.6940 O
```

DOS at the Fermi energy	0.0	states/eV/f.u.
E	-6.929	eV/atom
magnetic moment	1.00	μB per formula unit